Record 1
The following is a DFT calculation (PBE) of a geometry-optimized Ba4HoHg5 structure.

POSCAR file:
```
Ba4HoHg5
1.0
4.0478 0.0000 0.0000
0.0000 4.0478 0.0000
0.0000 0.0000 20.8992
Ba Ho Hg
4 1 5
Cartesian
0.0000 0.0000 3.8780 Ba
0.0000 0.0000 12.6302 Ba
0.0000 0.0000 8.2689 Ba
0.0000 0.0000 17.0212 Ba
0.0000 0.0000 0.0000 Ho
2.0239 2.0239 19.2910 Hg
2.0239 2.0239 10.4496 Hg
2.0239 2.0239 1.6082 Hg
2.0239 2.0239 6.1002 Hg
2.0239 2.0239 14.7990 Hg
```

Computed properties:
**Formation energy**: -0.486 eV per atom
**Fermi-level density of states**: 5.8 states/eV/f.u.
**Theoretical density**: 8327 kg/m3

***

Record 2
The following is a DFT calculation (PBE) of a geometry-optimized Sr2MgPb structure.

POSCAR file:
```
Sr2MgPb
1.0
-3.7156 -0.0567 3.6924
3.1567 -2.7670 3.1340
4.0142 8.5533 7.8868
Pb Sr Mg
2 4 2
Cartesian
0.0000 0.0000 0.0000 Pb
0.0096 3.5424 7.4962 Pb
2.5505 3.9189 11.9168 Sr
2.5460 0.4024 4.3582 Sr
-0.9581 1.7565 4.7050 Sr
2.7722 5.3814 8.4463 Sr
-0.2794 -1.4118 3.4132 Mg
3.4457 2.1872 7.2170 Mg
```

Computed properties:
**Formation energy**: 0.129 eV per atom
**Fermi-level density of states**: 4.8 states/eV/f.u.
**Theoretical density**: 4194 kg/m3

***

Record 3
The following is a DFT calculation (PBE) of a geometry-optimized Y2CF structure.

POSCAR file:
```
Y2CF
1.0
3.7012 0.0000 0.0000
1.8506 3.2053 0.0000
1.8506 1.0684 7.0303
C F Y
1 1 2
Cartesian
3.7012 2.1369 3.5152 C
0.0000 0.0000 0.0000 F
1.8506 1.0684 4.7989 Y
5.5518 3.2053 2.2314 Y
```

Computed properties:
**Fermi-level density of states**: 2.3 states/eV/f.u.
**Theoretical density**: 4158 kg/m3
**Energy**: -7.4703 eV per atom

***

Record 4
The following is a DFT calculation (PBE) of a geometry-optimized CaFe2Ni2 structure.

POSCAR file:
```
CaFe2Ni2
1.0
-3.2075 -6.1249 -2.4317
6.5896 -3.0081 -1.1153
-0.0237 -0.9598 2.4486
Ni Ca Fe
4 2 4
Cartesian
3.2767 -7.0904 -1.3349 Ni
-0.5105 -6.5265 -1.1505 Ni
3.8689 -3.5662 0.0521 Ni
0.0818 -3.0023 0.2365 Ni
0.0000 0.0000 0.0000 Ca
1.6910 -4.5665 -1.7735 Ca
2.1527 -1.8674 -0.7111 Fe
4.5916 -5.0059 -1.9177 Fe
-1.2095 -4.1271 -1.6293 Fe
1.2294 -7.2656 -2.8359 Fe
```

Computed properties:
**Formation energy**: 0.133 eV per atom
**Fermi-level density of states**: 4.8 states/eV/f.u.
**Theoretical density**: 6327 kg/m3

***

Record 5
The following is a DFT calculation (PBE) of a geometry-optimized DyTmCBr structure.

POSCAR file:
```
DyTmCBr
1.0
-1.9068 3.1106 -0.1559
-1.5760 -3.1568 -0.9419
-0.2964 -1.9694 7.0964
Dy C Br Tm
1 1 1 1
Cartesian
-1.4335 -0.2406 4.6498 Dy
-1.7216 -2.5103 5.6597 C
-2.5458 1.0905 2.0468 Br
-1.6641 -2.7882 -0.5843 Tm
```

Computed properties:
**Fermi-level density of states**: 1.8 states/eV/f.u.
**Theoretical density**: 8618 kg/m3
**Energy**: -5.9427 eV per atom

***

Record 6
The following is a DFT calculation (PBE) of a geometry-optimized NaTl2InH structure.

POSCAR file:
```
NaTl2InH
1.0
-1.2804 2.4341 -4.4270
-4.6615 1.1914 2.0034
1.6201 3.7030 1.5675
Tl Na H In
2 1 1 1
Cartesian
-0.6402 1.2171 -2.2135 Tl
-2.3307 0.5957 1.0017 Tl
0.8101 1.8515 0.7837 Na
0.0000 0.0000 0.0000 H
-2.1609 3.6643 -0.4281 In
```

Computed properties:
**Fermi-level density of states**: 2.1 states/eV/f.u.
**Theoretical density**: 7722 kg/m3
**Energy**: -2.3780 eV per atom